Entry 1:
Here is crystalline TbGa4B3O12 at its relaxed geometry from Alexandria via LeMat-Bulk. Energies are from PBE.

Results
Density of states at the Fermi level (states/eV/atom): 0.0000
Energy relative to the elements, uncorrected (meV/atom): -1644
Space-group type: Im-3, No. 204
Total magnetization (μB/atom): 0.000

Cell and atoms, written as POSCAR:
```
TbGa4B3O12
1.0
-3.5464 3.5464 3.5464
3.5464 -3.5464 3.5464
3.5464 3.5464 -3.5464
Tb Ga B O
1 4 3 12
Direct
0.0000 0.0000 0.0000 Tb
0.0000 0.0000 0.5000 Ga
0.0000 0.5000 0.0000 Ga
0.5000 0.0000 0.0000 Ga
0.5000 0.5000 0.5000 Ga
0.0000 0.5000 0.5000 B
0.5000 0.0000 0.5000 B
0.5000 0.5000 0.0000 B
0.1556 0.3332 0.4888 O
0.1556 0.6668 0.8224 O
0.1776 0.8444 0.3332 O
0.3332 0.1776 0.8444 O
0.3332 0.4888 0.1556 O
0.4888 0.1556 0.3332 O
0.5112 0.8444 0.6668 O
0.6668 0.5112 0.8444 O
0.6668 0.8224 0.1556 O
0.8224 0.1556 0.6668 O
0.8444 0.3332 0.1776 O
0.8444 0.6668 0.5112 O
```


Entry 2:
Here is crystalline Tl2GaBO4 at its relaxed geometry from Alexandria via LeMat-Bulk. Energies are from PBE.

Results
Density of states at the Fermi level (states/eV/atom): 0.0000
Energy relative to the elements, uncorrected (meV/atom): -1423
Space-group type: Fddd, No. 70
Total magnetization (μB/atom): 0.000

Cell and atoms, written as POSCAR:
```
Tl2GaBO4
1.0
0.0000 5.5037 10.6378
2.3564 0.0000 10.6378
2.3564 5.5037 0.0000
Tl Ga B O
4 2 2 8
Direct
0.0524 0.0524 0.6976 Tl
0.3024 0.3024 0.9476 Tl
0.6976 0.6976 0.0524 Tl
0.9476 0.9476 0.3024 Tl
0.1250 0.1250 0.1250 Ga
0.8750 0.8750 0.8750 Ga
0.3750 0.3750 0.3750 B
0.6250 0.6250 0.6250 B
0.0601 0.6130 0.5302 O
0.2967 0.5302 0.6130 O
0.3870 0.9399 0.7033 O
0.4698 0.7033 0.9399 O
0.5302 0.2967 0.0601 O
0.6130 0.0601 0.2967 O
0.7033 0.4698 0.3870 O
0.9399 0.3870 0.4698 O
```